No. 1
DFT (GGA-PBE) results for a geometry-optimized ScPt2Se structure.

As for the total energy: -6.268 eV/atom.

Lattice parameters (Å, degrees): 5.324 5.324 5.324 140.12 133.96 62.51
Fractional coordinates of all 4 atoms:
Sc1 0.250 0.750 0.500
Se1 0.750 0.250 0.500
Pt1 0.515 0.515 0.000
Pt2 0.985 0.985 0.000

***

No. 2
DFT (GGA-PBE) results for a geometry-optimized CdPtPb3 structure.

As for the formation enthalpy at 0 K: 0.1606 eV/atom. The calculation puts the energy above the lowest structure with this stoichiometry at 248.7 meV/atom.

Lattice parameters (Å, degrees): 5.443 5.443 5.443 90.00 90.00 90.00
Fractional coordinates of all 5 atoms:
Pb1 0.000 0.500 0.000
Pb2 0.000 0.000 0.500
Pb3 0.500 0.000 0.000
Pt1 0.000 0.000 0.000
Cd1 0.500 0.500 0.500

***

No. 3
DFT (GGA-PBE) results for a geometry-optimized Si3NiI structure.

The calculation puts the energy above the lowest structure with this stoichiometry at 77.7 meV/atom.

Lattice parameters (Å, degrees): 3.901 4.810 12.956 83.90 84.87 86.45
Fractional coordinates of all 10 atoms:
Si1 0.801 0.501 0.400
Si2 0.750 0.242 0.043
Si3 0.300 0.240 0.440
Si4 0.247 0.004 0.103
Si5 0.566 0.950 0.305
Si6 0.584 0.476 0.193
Ni1 0.062 0.209 0.268
Ni2 0.077 0.714 0.243
I1 0.272 0.934 0.609
I2 0.704 0.499 0.869

***

No. 4
DFT (GGA-PBE) results for a geometry-optimized Sr2LiCl structure.

The calculation puts the energy above the lowest structure with this stoichiometry at 103.4 meV/atom.

Lattice parameters (Å, degrees): 3.923 3.923 8.887 90.00 90.00 90.00
Fractional coordinates of all 4 atoms:
Sr1 0.000 0.000 0.999
Sr2 0.000 0.000 0.501
Cl1 0.500 0.500 0.250
Li1 0.500 0.500 0.750

***

| no. | D(E_F) (states/eV/atom) |
| --- | --- |
| 1 | 0.321 |
| 2 | 0.518 |
| 3 | 0.281 |
| 4 | 0.797 |